DFT (PBE) results for crystalline TmNbPdRu at its relaxed geometry.

The structure belongs to space group F-43m (No. 216); the cell edges are 6.597, 6.597 and 6.597 Å and the angles 90.00°, 90.00° and 90.00°. Symmetry generates all atoms from Tm at (0.000, 0.000, 0.000), Nb at (0.000, 0.000, 0.500), Pd at (0.250, 0.250, 0.250) and Ru at (0.250, 0.250, 0.750).

Its formation energy is -0.3594 eV/atom. The value obtained for the mass density is 10.858 g/cm3. The size of the total moment is 0.00 Bohr magnetons per cell.

---

DFT (PBE) results for crystalline YSc5Ga6 at its relaxed geometry.

The structure belongs to space group C2/m (No. 12); the cell edges are 15.210, 6.743 and 4.818 Å and the angles 90.00°, 108.04° and 90.00°. Symmetry generates all atoms from Y at (0.000, 0.000, 0.000), Sc at (0.000, 0.500, 0.000), Sc at (0.163, 0.000, 0.663), Sc at (0.169, 0.500, 0.669), Ga at (0.000, 0.266, 0.500) and Ga at (0.171, 0.258, 0.171).

Its formation energy is -0.5859 eV/atom. The value obtained for the mass density is 5.174 g/cm3. The size of the total moment is 0.00 Bohr magnetons per cell.

---

DFT (PBE) results for crystalline PrSm6Hg2 at its relaxed geometry.

The structure belongs to space group C2/m (No. 12); the cell edges are 12.876, 3.810 and 12.157 Å and the angles 90.00°, 108.51° and 90.00°. Symmetry generates all atoms from Pr at (0.000, 0.000, 0.000), Sm at (0.018, 0.000, 0.339), Sm at (0.187, 0.500, 0.875), Sm at (0.188, 0.500, 0.586) and Hg at (0.147, 0.500, 0.211).

Its formation energy is -0.2051 eV/atom. The value obtained for the mass density is 8.482 g/cm3. The size of the total moment is 0.00 Bohr magnetons per cell.

---

> mass density of number 2 (YSc5Ga6)?

5.174 g/cm3

---

What did the first record say?
DFT (PBE) results for crystalline TmNbPdRu at its relaxed geometry.

The structure belongs to space group F-43m (No. 216); the cell edges are 6.597, 6.597 and 6.597 Å and the angles 90.00°, 90.00° and 90.00°. Symmetry generates all atoms from Tm at (0.000, 0.000, 0.000), Nb at (0.000, 0.000, 0.500), Pd at (0.250, 0.250, 0.250) and Ru at (0.250, 0.250, 0.750).

Its formation energy is -0.3594 eV/atom. The value obtained for the mass density is 10.858 g/cm3. The size of the total moment is 0.00 Bohr magnetons per cell.

---

Please write out number 3 again, unchanged.
DFT (PBE) results for crystalline PrSm6Hg2 at its relaxed geometry.

The structure belongs to space group C2/m (No. 12); the cell edges are 12.876, 3.810 and 12.157 Å and the angles 90.00°, 108.51° and 90.00°. Symmetry generates all atoms from Pr at (0.000, 0.000, 0.000), Sm at (0.018, 0.000, 0.339), Sm at (0.187, 0.500, 0.875), Sm at (0.188, 0.500, 0.586) and Hg at (0.147, 0.500, 0.211).

Its formation energy is -0.2051 eV/atom. The value obtained for the mass density is 8.482 g/cm3. The size of the total moment is 0.00 Bohr magnetons per cell.

---

> What is the formula in the first record?

TmNbPdRu